Record 1
Here is TaCo2Sb at its PBEsol-relaxed geometry from the Alexandria database. Energies are from SCAN.

Structure (CIF):
```
data_TaCo2Sb
_space_group_name_H-M_alt 'C 1 2/m 1'
_space_group_IT_number 12
_cell_length_a 8.010
_cell_length_b 3.207
_cell_length_c 4.789
_cell_angle_alpha 90.00
_cell_angle_beta 104.70
_cell_angle_gamma 90.00
loop_
_space_group_symop_operation_xyz
'x,y,z'
'-x,-y,-z'
'-x,y,-z'
'x,-y,z'
'x+1/2,y+1/2,z'
'-x+1/2,-y+1/2,-z'
'-x+1/2,y+1/2,-z'
'x+1/2,-y+1/2,z'
loop_
_atom_site_label
_atom_site_fract_x
_atom_site_fract_y
_atom_site_fract_z
Ta1 0.000 0.000 0.000
Co1 0.241 0.500 0.215
Sb1 0.000 0.500 0.500
```

Computed properties:
ΔE_f (raw) ... 228 meV/atom
Magnetization ... 0.00 μB per atom

=====

Record 2
Here is Ta3CoSb at its PBEsol-relaxed geometry from the Alexandria database. Energies are from SCAN.

Structure (CIF):
```
data_Ta3CoSb
_space_group_name_H-M_alt 'P m -3 m'
_space_group_IT_number 221
_space_group_name_Hall '-P 4 2 3'
_cell_length_a 4.915
_cell_length_b 4.915
_cell_length_c 4.915
_cell_angle_alpha 90.00
_cell_angle_beta 90.00
_cell_angle_gamma 90.00
loop_
_atom_site_label
_atom_site_fract_x
_atom_site_fract_y
_atom_site_fract_z
Ta1 0.000 0.000 0.500
Co1 0.500 0.500 0.500
Sb1 0.000 0.000 0.000
```

Computed properties:
ΔE_f (raw) ... 2219 meV/atom
Magnetization ... 0.51 μB per atom